A plane-wave DFT calculation with PBE was carried out for crystalline VBiPdBr2 at its relaxed geometry.

- Magnetization: 0.14 μB/f.u.
- Crystal system: tetragonal
- Formation energy from raw total energies: 0.680 eV/atom
- Total energy: -0.26661 Ry per atom
- Space group: No. 123

Cell: 5.0102 5.2043 5.0102 Å, 90.00 90.00 90.00°
Closest atoms and distances in Å follow each position.
Fractional coordinates of all 5 atoms:
Br 0.5000 0.0000 0.0000  2 Pd 2.51
Br 0.0000 0.0000 0.5000  2 Pd 2.51
Bi 0.5000 0.5000 0.5000  4 V 3.54, 8 Br 3.61
V 0.0000 0.5000 0.0000  2 Pd 2.60
Pd 0.0000 0.0000 0.0000  4 Br 2.51, 2 V 2.60

---

A plane-wave DFT calculation with PBE was carried out for crystalline TlAgSb2 at its relaxed geometry.

- Magnetization: 0.00 μB/f.u.
- Crystal system: tetragonal
- Formation energy from raw total energies: 0.159 eV/atom
- Total energy: -0.23567 Ry per atom
- Space group: No. 99

Cell: 3.7453 3.7465 7.7067 Å, 90.00 90.00 90.00°
Closest atoms and distances in Å follow each position.
Fractional coordinates of all 4 atoms:
Sb 0.5000 0.5000 0.1994  4 Sb 3.10, 1 Ag 3.23
Sb 0.0000 0.0000 0.9901  4 Sb 3.10, 4 Ag 3.10
Ag 0.5000 0.5000 0.7808  5 Sb 3.10-3.23, 4 Tl 3.28
Tl 0.0000 0.0000 0.5297  4 Ag 3.28, 5 Sb 3.55-3.67

---

A plane-wave DFT calculation with PBE was carried out for crystalline GdMnPd4 at its relaxed geometry.

- ΔH_f (0 K): -447 meV/atom
- Magnetization: 11.91 μB/f.u.
- Crystal system: cubic
- Total energy: -0.57209 Ry per atom
- Space group: No. 216

Cell: 5.3418 5.3418 5.3418 Å, 60.00 60.00 60.00°
Closest atoms and distances in Å follow each position.
Fractional coordinates of all 6 atoms:
Pd 0.6255 0.6255 0.1234  6 Pd 2.66-2.68
Pd 0.6255 0.6255 0.6255  6 Pd 2.66-2.68
Pd 0.1234 0.6255 0.6255  6 Pd 2.66-2.68
Pd 0.6255 0.1234 0.6255  6 Pd 2.66-2.68
Gd 0.2500 0.2500 0.2500  12 Pd 3.13, 4 Mn 3.27
Mn 0.0000 0.0000 0.0000  12 Pd 3.13, 4 Gd 3.27

---

A plane-wave DFT calculation with PBE was carried out for crystalline BeGeIN2 at its relaxed geometry.

- Magnetization: 1.16 μB/f.u.
- Crystal system: tetragonal
- Formation energy from raw total energies: 1.465 eV/atom
- Total energy: -0.28251 Ry per atom
- Space group: No. 123

Cell: 3.8380 3.8380 5.3688 Å, 90.00 90.00 90.00°
Closest atoms and distances in Å follow each position.
Fractional coordinates of all 5 atoms:
Ge 0.5000 0.5000 0.5000  4 I 2.71
I 0.0000 0.0000 0.5000  2 Be 2.68, 4 Ge 2.71
N 0.0000 0.5000 0.0000  2 Be 1.92
N 0.5000 0.0000 0.0000  2 Be 1.92
Be 0.0000 0.0000 0.0000  4 N 1.92

---

Look up the total energy of the second one.
-0.23567 Ry per atom

---

Which formula does entry 4 have?
BeGeIN2

---

What is the total energy in the third record?
-0.57209 Ry per atom